DFT (PBE-GGA) results for a relaxed structure of Tb5Pm8Mg.

The value obtained for the total energy is -120.22 eV for the cell shown.

The space group is C2 (No. 5) and the conventional cell measures 12.649, 10.338 and 9.421 Å, with angles of 90.00, 129.27 and 90.00 degrees. The asymmetric unit holds Tb at (0.000, 0.000, 0.000), Tb at (0.054, 0.381, 0.216), Tb at (0.237, 0.039, 0.858), Pm at (0.045, 0.714, 0.226), Pm at (0.142, 0.074, 0.423), Pm at (0.176, 0.372, 0.705), Pm at (0.248, 0.210, 0.165) and Mg at (0.000, 0.862, 0.500).


DFT (PBE-GGA) results for a relaxed structure of TbPm7Mg4.

The value obtained for the total energy is -85.35 eV for the cell shown.

The space group is C2/m (No. 12) and the conventional cell measures 15.378, 5.837 and 9.810 Å, with angles of 90.00, 121.28 and 90.00 degrees. The asymmetric unit holds Tb at (0.000, 0.000, 0.000), Pm at (0.000, 0.500, 0.000), Pm at (0.082, 0.000, 0.426), Pm at (0.198, 0.000, 0.878), Pm at (0.247, 0.500, 0.712), Mg at (0.039, 0.500, 0.695) and Mg at (0.175, 0.500, 0.345).


DFT (PBE-GGA) results for a relaxed structure of Tb5Pm3Mg2.

The value obtained for the total energy is -151.32 eV for the cell shown.

The space group is Ibam (No. 72) and the conventional cell measures 12.898, 15.902 and 6.408 Å, with angles of 90.00, 90.00 and 90.00 degrees. The asymmetric unit holds Tb at (0.000, 0.000, 0.250), Tb at (0.150, 0.160, 0.000), Tb at (0.249, 0.000, 0.250), Pm at (0.000, 0.500, 0.250), Pm at (0.101, 0.237, 0.500) and Mg at (0.138, 0.349, 0.000).


DFT (PBE-GGA) results for a relaxed structure of Tb3Pm4Mg2.

The value obtained for the total energy is -72.06 eV for the cell shown.

The space group is C2/m (No. 12) and the conventional cell measures 15.118, 5.047 and 7.812 Å, with angles of 90.00, 108.85 and 90.00 degrees. The asymmetric unit holds Tb at (0.000, 0.000, 0.000), Tb at (0.112, 0.000, 0.669), Pm at (0.053, 0.500, 0.330), Pm at (0.222, 0.000, 0.327) and Mg at (0.168, 0.500, 0.999).


DFT (PBE-GGA) results for a relaxed structure of TbPm2Mg2.

The value obtained for the total energy is -34.21 eV for the cell shown. The value obtained for the excess energy over the best structure of this formula in the dataset is 0.57 eV per formula unit.

The space group is Immm (No. 71) and the conventional cell measures 5.255, 7.061 and 8.212 Å, with angles of 90.00, 90.00 and 90.00 degrees. The asymmetric unit holds Tb at (0.000, 0.000, 0.000), Pm at (0.000, 0.500, 0.195) and Mg at (0.000, 0.207, 0.500).


DFT (PBE-GGA) results for a relaxed structure of TbPm5Mg3.

The value obtained for the total energy is -66.34 eV for the cell shown.

The space group is P6_3/mcm (No. 193) and the conventional cell measures 9.5642, 9.5642 and 7.0264 Å, with angles of 90.00, 90.00 and 120.00 degrees. The asymmetric unit holds Tb at (0.0000, 0.0000, 0.0000), Pm at (0.0000, 0.3324, 0.2500), Pm at (0.3333, 0.6667, 0.0000) and Mg at (0.0000, 0.3313, 0.7500).


DFT (PBE-GGA) results for a relaxed structure of TbPmMg4.

The value obtained for the total energy is -32.11 eV for the cell shown. The value obtained for the excess energy over the best structure of this formula in the dataset is 0.23 eV per formula unit.

The space group is C2/m (No. 12) and the conventional cell measures 13.884, 3.472 and 6.798 Å, with angles of 90.00, 104.12 and 90.00 degrees. The asymmetric unit holds Tb at (0.000, 0.000, 0.000), Pm at (0.000, 0.000, 0.500), Mg at (0.175, 0.500, 0.841) and Mg at (0.177, 0.500, 0.336).


DFT (PBE-GGA) results for a relaxed structure of TbPmMg17.

The value obtained for the total energy is -111.41 eV for the cell shown.

The space group is R3m (No. 160, hexagonal axes) and the conventional cell measures 10.2429, 10.2429 and 15.2219 Å, with angles of 90.00, 90.00 and 120.00 degrees. The asymmetric unit holds Tb at (0.0000, 0.0000, 0.0000), Pm at (0.0000, 0.0000, 0.3414), Mg at (0.0000, 0.0000, 0.5725), Mg at (0.0000, 0.0000, 0.7712), Mg at (0.0010, 0.3026, 0.6713), Mg at (0.0017, 0.5009, 0.1707), Mg at (0.0104, 0.5052, 0.8223) and Mg at (0.1703, 0.3406, 0.8537).


DFT (PBE-GGA) results for a relaxed structure of TbPmMg14.

The value obtained for the total energy is -32.36 eV for the cell shown.

The space group is P4/mmm (No. 123) and the conventional cell measures 6.946, 6.946 and 8.033 Å, with angles of 90.00, 90.00 and 90.00 degrees. The asymmetric unit holds Tb at (0.000, 0.000, 0.000), Pm at (0.500, 0.500, 0.000), Mg at (0.000, 0.000, 0.500), Mg at (0.000, 0.500, 0.000), Mg at (0.000, 0.500, 0.500), Mg at (0.248, 0.248, 0.262) and Mg at (0.500, 0.500, 0.500).


DFT (PBE-GGA) results for a relaxed structure of Tb6Pm5Mg2.

The value obtained for the total energy is -106.06 eV for the cell shown.

The space group is Pbam (No. 55) and the conventional cell measures 10.511, 22.606 and 3.567 Å, with angles of 90.00, 90.00 and 90.00 degrees. The asymmetric unit holds Tb at (0.019, 0.113, 0.000), Tb at (0.144, 0.382, 0.000), Tb at (0.169, 0.634, 0.500), Pm at (0.000, 0.500, 0.500), Pm at (0.081, 0.249, 0.500), Pm at (0.167, 0.994, 0.500) and Mg at (0.169, 0.761, 0.000).


DFT (PBE-GGA) results for a relaxed structure of Tb4Pm3Mg.

The value obtained for the total energy is -68.53 eV for the cell shown. The value obtained for the excess energy over the best structure of this formula in the dataset is 0.00 eV per formula unit.

The space group is Pmn2_1 (No. 31) and the conventional cell measures 11.393, 7.142 and 6.282 Å, with angles of 90.00, 90.00 and 90.00 degrees. The asymmetric unit holds Tb at (0.000, 0.127, 0.000), Tb at (0.000, 0.628, 0.003), Tb at (0.244, 0.122, 0.340), Pm at (0.000, 0.381, 0.529), Pm at (0.242, 0.631, 0.349) and Mg at (0.000, 0.884, 0.514).


DFT (PBE-GGA) results for a relaxed structure of Tb5PmMg2.

The value obtained for the total energy is -61.72 eV for the cell shown.

The space group is Immm (No. 71) and the conventional cell measures 3.486, 10.826 and 12.944 Å, with angles of 90.00, 90.00 and 90.00 degrees. The asymmetric unit holds Tb at (0.000, 0.000, 0.000), Tb at (0.000, 0.271, 0.367), Pm at (0.000, 0.500, 0.000) and Mg at (0.000, 0.000, 0.258).


DFT (PBE-GGA) results for a relaxed structure of Tb3Pm2Mg2.

The value obtained for the total energy is -52.68 eV for the cell shown.

The space group is Cmmm (No. 65) and the conventional cell measures 3.555, 34.261 and 3.520 Å, with angles of 90.00, 90.00 and 90.00 degrees. The asymmetric unit holds Tb at (0.000, 0.000, 0.000), Tb at (0.000, 0.427, 0.500), Pm at (0.000, 0.295, 0.500) and Mg at (0.000, 0.138, 0.000).


DFT (PBE-GGA) results for a relaxed structure of Tb4Pm3Mg.

The value obtained for the total energy is -65.77 eV for the cell shown. The value obtained for the excess energy over the best structure of this formula in the dataset is 1.38 eV per formula unit.

The space group is C2/m (No. 12) and the conventional cell measures 25.786, 3.422 and 5.929 Å, with angles of 90.00, 96.12 and 90.00 degrees. The asymmetric unit holds Tb at (0.102, 0.000, 0.194), Tb at (0.218, 0.500, 0.238), Pm at (0.000, 0.000, 0.500), Pm at (0.149, 0.000, 0.718) and Mg at (0.000, 0.500, 0.000).


DFT (PBE-GGA) results for a relaxed structure of Tb6Pm8Mg.

The value obtained for the total energy is -65.38 eV for the cell shown.

The space group is P-3 (No. 147) and the conventional cell measures 9.3962, 9.3962 and 6.4987 Å, with angles of 90.00, 90.00 and 120.00 degrees. The asymmetric unit holds Tb at (0.0937, 0.6484, 0.1675), Pm at (0.0377, 0.7644, 0.6773), Pm at (0.3333, 0.6667, 0.6399) and Mg at (0.0000, 0.0000, 0.0000).


DFT (PBE-GGA) results for a relaxed structure of Tb6Pm12Mg.

The value obtained for the total energy is -252.19 eV for the cell shown. The value obtained for the excess energy over the best structure of this formula in the dataset is 0.00 eV per formula unit.

The space group is R-3 (No. 148, hexagonal axes) and the conventional cell measures 12.0723, 12.0723 and 15.2572 Å, with angles of 90.00, 90.00 and 120.00 degrees. The asymmetric unit holds Tb at (0.0196, 0.5906, 0.1891), Pm at (0.0039, 0.8282, 0.3121), Pm at (0.0462, 0.1983, 0.9158) and Mg at (0.0000, 0.0000, 0.5000).


DFT (PBE-GGA) results for a relaxed structure of Tb7Pm12Mg.

The value obtained for the total energy is -264.62 eV for the cell shown. The value obtained for the excess energy over the best structure of this formula in the dataset is 0.00 eV per formula unit.

The space group is R-3 (No. 148, hexagonal axes) and the conventional cell measures 15.0695, 15.0695 and 10.1071 Å, with angles of 90.00, 90.00 and 120.00 degrees. The asymmetric unit holds Tb at (0.0000, 0.0000, 0.0000), Tb at (0.0721, 0.2597, 0.4366), Pm at (0.0237, 0.2499, 0.0536), Pm at (0.0495, 0.1796, 0.7412) and Mg at (0.0000, 0.0000, 0.5000).


DFT (PBE-GGA) results for a relaxed structure of Tb5Pm6Mg.

The value obtained for the total energy is -106.09 eV for the cell shown.

The space group is C2/m (No. 12) and the conventional cell measures 11.831, 10.771 and 6.215 Å, with angles of 90.00, 100.33 and 90.00 degrees. The asymmetric unit holds Tb at (0.000, 0.000, 0.000), Tb at (0.000, 0.166, 0.500), Tb at (0.000, 0.335, 0.000), Pm at (0.248, 0.334, 0.754), Pm at (0.249, 0.000, 0.749) and Mg at (0.000, 0.500, 0.500).


DFT (PBE-GGA) results for a relaxed structure of TbPm2Mg.

The value obtained for the total energy is -46.72 eV for the cell shown. The value obtained for the excess energy over the best structure of this formula in the dataset is 0.28 eV per formula unit.

The space group is R3m (No. 160, hexagonal axes) and the conventional cell measures 3.5620, 3.5620 and 34.4617 Å, with angles of 90.00, 90.00 and 120.00 degrees. The asymmetric unit holds Tb at (0.0000, 0.0000, 0.0000), Pm at (0.0000, 0.0000, 0.4179), Pm at (0.0000, 0.0000, 0.5813) and Mg at (0.0000, 0.0000, 0.8329).


DFT (PBE-GGA) results for a relaxed structure of Tb2PmMg.

The value obtained for the total energy is -30.86 eV for the cell shown. The value obtained for the excess energy over the best structure of this formula in the dataset is 0.30 eV per formula unit.

The space group is Cm (No. 8) and the conventional cell measures 6.147, 3.538 and 11.550 Å, with angles of 90.00, 100.24 and 90.00 degrees. The asymmetric unit holds Tb at (0.000, 0.000, 0.000), Tb at (0.161, 0.000, 0.485), Pm at (0.080, 0.500, 0.741) and Mg at (0.248, 0.500, 0.242).